Entry from the Alexandria database: an optimized crystal structure of ScCo2NiHg (GGA-PBE).

Unit cell a=4.7223 b=4.7223 c=5.1625 alpha=90.00 beta=90.00 gamma=90.00
With the nearest neighbours (Å) after each atom.
Space group P4/mmm (No. 123)
Symmetry-distinct sites (fractional):
1 Sc 0.0000 0.0000 0.0000 [1 per cell]  2 Hg 2.58
2 Co 0.0000 0.5000 0.5000 [2 per cell]  2 Hg 2.36
3 Ni 0.5000 0.5000 0.0000 [1 per cell]  4 Sc 3.34, 8 Co 3.50
4 Hg 0.0000 0.0000 0.5000 [1 per cell]  4 Co 2.36, 2 Sc 2.58

Properties
Crystal system = tetragonal
N(E_F) = 2.39 states/eV/atom
E_form = 1511 meV per atom

***

Entry from the Alexandria database: an optimized crystal structure of Th2CoNiHg (GGA-PBE).

Unit cell a=7.2868 b=4.3235 c=7.3878 alpha=90.00 beta=110.99 gamma=90.00
With the nearest neighbours (Å) after each atom.
Space group P2_1/m (No. 11)
Symmetry-distinct sites (fractional):
1 Th 0.0692 0.2500 0.3302 [2 per cell]  3 Ni 2.85-3.13, 3 Co 2.85-2.89
2 Th 0.3309 0.7500 0.0760 [2 per cell]  1 Ni 2.80, 3 Co 2.84
3 Co 0.0635 0.2500 0.9372 [2 per cell]  1 Ni 2.37, 2 Co 2.65
4 Ni 0.2595 0.2500 0.7405 [2 per cell]  1 Co 2.37
5 Hg 0.4054 0.7500 0.5927 [2 per cell]  2 Ni 2.80, 2 Hg 3.13

Properties
Crystal system = monoclinic
N(E_F) = 0.92 states/eV/atom
E_form = -296 meV per atom

***

Entry from the Alexandria database: an optimized crystal structure of V2CoNiHg (GGA-PBE).

Unit cell a=4.7955 b=4.7955 c=4.5853 alpha=90.00 beta=90.00 gamma=90.00
With the nearest neighbours (Å) after each atom.
Space group P4/mmm (No. 123)
Symmetry-distinct sites (fractional):
1 V 0.0000 0.5000 0.0000 [2 per cell]  2 Hg 2.40
2 Co 0.0000 0.0000 0.5000 [1 per cell]  8 V 3.32, 4 Ni 3.39
3 Ni 0.5000 0.5000 0.5000 [1 per cell]  2 Hg 2.29
4 Hg 0.5000 0.5000 0.0000 [1 per cell]  2 Ni 2.29, 4 V 2.40

Properties
Crystal system = tetragonal
N(E_F) = 2.10 states/eV/atom
E_form = 2205 meV per atom